# 1
# Ce2ScGe2 | Alexandria via LeMat-Bulk | PBE-GGA | relaxed
# - polymorph energy (0 for the lowest one) (kJ/mol of formula units) = 0.0
# - crystal system = tetragonal
# - density of states at the Fermi level (states/eV/f.u.) = 11.9
# - raw total energy (eV/atom) = -6.1952
# - energy of formation from the pure elements (eV per atom) = -0.708
data_Ce2ScGe2
_symmetry_space_group_name_H-M 'P 4/m b m'
_symmetry_Int_Tables_number 127
_symmetry_space_group_name_Hall '-P 4 2ab'
_cell_length_a 7.428
_cell_length_b 7.428
_cell_length_c 4.366
_cell_angle_alpha 90.00
_cell_angle_beta 90.00
_cell_angle_gamma 90.00
loop_
_atom_site_label
_atom_site_type_symbol
_atom_site_fract_x
_atom_site_fract_y
_atom_site_fract_z
_atom_site_occupancy
Ce1 Ce 0.173 0.327 0.000 1
Sc1 Sc 0.000 0.000 0.500 1
Ge1 Ge 0.130 0.630 0.500 1

---

# 2
# EuYSnPd | Alexandria via LeMat-Bulk | PBE-GGA | relaxed
# - crystal system = cubic
# - density of states at the Fermi level (states/eV/f.u.) = 12.4
# - raw total energy (eV/atom) = -7.1545
# - energy of formation from the pure elements (eV per atom) = -0.671
data_EuYSnPd
_symmetry_space_group_name_H-M 'F -4 3 m'
_symmetry_Int_Tables_number 216
_symmetry_space_group_name_Hall 'F -4 2 3'
_cell_length_a 7.435
_cell_length_b 7.435
_cell_length_c 7.435
_cell_angle_alpha 90.00
_cell_angle_beta 90.00
_cell_angle_gamma 90.00
loop_
_atom_site_label
_atom_site_type_symbol
_atom_site_fract_x
_atom_site_fract_y
_atom_site_fract_z
_atom_site_occupancy
Eu1 Eu 0.000 0.000 0.000 1
Y1 Y 0.000 0.000 0.500 1
Sn1 Sn 0.250 0.250 0.750 1
Pd1 Pd 0.250 0.250 0.250 1

---

# 3
# BaSr3Cd | Alexandria via LeMat-Bulk | PBE-GGA | relaxed
# - polymorph energy (0 for the lowest one) (kJ/mol of formula units) = 0.0
# - crystal system = monoclinic
# - density of states at the Fermi level (states/eV/f.u.) = 7.8
# - raw total energy (eV/atom) = -1.6930
# - energy of formation from the pure elements (eV per atom) = -0.116
data_BaSr3Cd
_symmetry_space_group_name_H-M 'C 1 m 1'
_symmetry_Int_Tables_number 8
_symmetry_space_group_name_Hall 'C -2y'
_cell_length_a 14.998
_cell_length_b 4.523
_cell_length_c 15.649
_cell_angle_alpha 90.00
_cell_angle_beta 112.13
_cell_angle_gamma 90.00
loop_
_atom_site_label
_atom_site_type_symbol
_atom_site_fract_x
_atom_site_fract_y
_atom_site_fract_z
_atom_site_occupancy
Ba1 Ba 0.000 0.000 0.000 1
Ba2 Ba 0.130 0.000 0.295 1
Sr1 Sr 0.123 0.000 0.613 1
Sr2 Sr 0.241 0.000 0.898 1
Sr3 Sr 0.271 0.500 0.139 1
Sr4 Sr 0.310 0.500 0.532 1
Sr5 Sr 0.440 0.000 0.378 1
Sr6 Sr 0.476 0.000 0.758 1
Cd1 Cd 0.296 0.500 0.755 1
Cd2 Cd 0.448 0.000 0.152 1